{
  "formula": "YTaMn",
  "functional": "PBE-GGA",
  "state": "optimized geometry",
  "lattice_angstrom": [[-1.614, 1.614, 5.508], [1.614, -1.614, 5.508], [1.614, 1.614, -5.508]],
  "species": ["Y", "Ta", "Mn"],
  "fractional_positions": [[0.000, 0.000, 0.000], [0.290, 0.290, 0.000], [0.683, 0.683, 0.000]],
  "total_magnetization_mub_per_fu": 0.0,
  "space_group": "I4mm (107)",
  "relative_energy_kj_per_mol_fu": 0,
  "dos_at_fermi_per_ev_cell": 3.72,
  "formation_enthalpy_0k_ev_per_atom": 0.21
}



{
  "formula": "YTaMn2",
  "functional": "PBE-GGA",
  "state": "optimized geometry",
  "lattice_angstrom": [[1.517, 0.876, 9.212], [-1.517, 0.876, 9.212], [0.000, -1.752, 9.212]],
  "species": ["Y", "Ta", "Mn", "Mn"],
  "fractional_positions": [[0.000, 0.000, 0.000], [0.234, 0.234, 0.234], [0.490, 0.490, 0.490], [0.759, 0.759, 0.759]],
  "total_magnetization_mub_per_fu": 0.4,
  "space_group": "R3m (160)",
  "dos_at_fermi_per_ev_cell": 5.50,
  "formation_enthalpy_0k_ev_per_atom": 0.51
}



{
  "formula": "YZrTaMn2",
  "functional": "PBE-GGA",
  "state": "optimized geometry",
  "lattice_angstrom": [[4.790, 0.000, 0.000], [0.000, 4.790, 0.000], [0.000, 0.000, 5.094]],
  "species": ["Y", "Zr", "Ta", "Mn", "Mn"],
  "fractional_positions": [[0.000, 0.000, 0.000], [0.500, 0.500, 0.000], [0.500, 0.500, 0.500], [0.000, 0.500, 0.500], [0.500, 0.000, 0.500]],
  "total_magnetization_mub_per_fu": 4.7,
  "space_group": "P4/mmm (123)",
  "dos_at_fermi_per_ev_cell": 5.26,
  "formation_enthalpy_0k_ev_per_atom": 0.81
}



{
  "formula": "TaMnZn2",
  "functional": "PBE-GGA",
  "state": "optimized geometry",
  "lattice_angstrom": [[2.660, -4.119, 0.000], [2.660, 4.119, 0.000], [0.000, 0.000, 2.733]],
  "species": ["Ta", "Mn", "Zn", "Zn"],
  "fractional_positions": [[0.000, 0.000, 0.000], [0.500, 0.500, 0.000], [0.000, 0.500, 0.500], [0.500, 0.000, 0.500]],
  "total_magnetization_mub_per_fu": 2.2,
  "space_group": "Cmmm (65)",
  "relative_energy_kj_per_mol_fu": 32,
  "dos_at_fermi_per_ev_cell": 2.92,
  "formation_enthalpy_0k_ev_per_atom": 0.13
}



{
  "formula": "TaMnZn",
  "functional": "PBE-GGA",
  "state": "optimized geometry",
  "lattice_angstrom": [[2.441, 1.409, 12.232], [-2.441, 1.409, 12.232], [0.000, -2.819, 12.232]],
  "species": ["Ta", "Ta", "Ta", "Ta", "Ta", "Ta", "Mn", "Mn", "Mn", "Mn", "Mn", "Mn", "Zn", "Zn", "Zn", "Zn", "Zn", "Zn"],
  "fractional_positions": [[0.045, 0.045, 0.045], [0.181, 0.181, 0.181], [0.261, 0.261, 0.261], [0.739, 0.739, 0.739], [0.819, 0.819, 0.819], [0.955, 0.955, 0.955], [0.205, 0.729, 0.729], [0.271, 0.271, 0.795], [0.271, 0.795, 0.271], [0.729, 0.205, 0.729], [0.729, 0.729, 0.205], [0.795, 0.271, 0.271], [0.000, 0.500, 0.500], [0.391, 0.391, 0.391], [0.500, 0.000, 0.500], [0.500, 0.500, 0.000], [0.500, 0.500, 0.500], [0.609, 0.609, 0.609]],
  "total_magnetization_mub_per_fu": 0.3,
  "space_group": "R-3m (166)",
  "relative_energy_kj_per_mol_fu": 0,
  "dos_at_fermi_per_ev_cell": 13.64,
  "formation_enthalpy_0k_ev_per_atom": -0.10
}



{
  "formula": "TaMnZn",
  "functional": "PBE-GGA",
  "state": "optimized geometry",
  "lattice_angstrom": [[-1.396, 1.396, 5.880], [1.396, -1.396, 5.880], [1.396, 1.396, -5.880]],
  "species": ["Ta", "Mn", "Zn"],
  "fractional_positions": [[0.000, 0.000, 0.000], [0.329, 0.329, 0.000], [0.676, 0.676, 0.000]],
  "total_magnetization_mub_per_fu": 3.0,
  "space_group": "I4mm (107)",
  "relative_energy_kj_per_mol_fu": 59,
  "dos_at_fermi_per_ev_cell": 2.82,
  "formation_enthalpy_0k_ev_per_atom": 0.10
}